The following is a DFT calculation (PBE with a Hubbard U) of VIO6 after structural relaxation.

Results
E, eV per atom: -5.45
SG: C2/m

Cell: 4.752 4.744 5.426 Å, 64.07 83.97 76.09°
Sites, in units of the cell vectors:
V  0.000  0.000  0.000
I  0.500  0.500  0.000
O  0.743  0.390  0.741
O  0.743  0.132  0.259
O  0.257  0.868  0.741
O  0.257  0.610  0.259
O  0.752  0.759  0.000
O  0.248  0.241  0.000